1.
## SmTmGa2Ru2 (GGA-PBE)

Data for crystalline SmTmGa2Ru2 at its relaxed geometry.

```
6
Lattice="-1.6511 -2.4306 -3.1933 4.1732 -0.4222 1.1121 -1.8184 -5.1573 4.8657" Properties=species:S:1:pos:R:3 pbc="T T T"
Ru -0.1942 -3.1353 -0.4616
Ru 0.8979 -4.8748 3.2462
Ga -1.0388 -5.5309 1.7985
Ga 1.7426 -2.4792 0.9861
Sm 0.0000 0.0000 0.0000
Tm -0.9092 -2.5787 2.4329
```

Summary:
Space group   P-3m1
Formation energy   -0.47 eV per atom
Magnetization   0.0 μB per formula unit


2.
## Pr2NdSm5Mg (GGA-PBE)

Data for crystalline Pr2NdSm5Mg at its relaxed geometry.

```
18
Lattice="-3.8980 -3.9943 -0.3475 9.1632 -5.1163 1.0142 -1.1059 0.1459 10.7280" Properties=species:S:1:pos:R:3 pbc="T T T"
Sm 0.8658 -4.9677 2.3968
Sm 5.5094 -5.4403 0.7320
Sm -0.8155 -3.5950 5.4768
Sm 3.3896 -4.0097 8.0659
Sm -2.2333 -1.9607 2.5957
Sm 3.8260 -4.0653 3.8112
Sm 0.2007 -4.8818 8.8706
Sm 6.3746 -7.0017 8.9736
Sm 4.5093 -8.8453 6.0969
Sm 0.1847 -0.1900 0.1114
Mg -0.6008 -3.3338 0.0672
Mg 5.2960 -5.7016 6.1293
Nd 1.7932 -6.1672 5.7809
Nd 2.9007 -2.8680 0.4282
Pr 2.7186 -7.3545 9.0483
Pr 3.3619 -7.4391 2.8040
Pr 0.8698 -1.5352 7.8888
Pr 1.3316 -1.5958 3.4051
```

Summary:
Space group   Cmc2_1
Formation energy   0.09 eV per atom
Magnetization   0.0 μB per formula unit


3.
## FeSb2TeW (GGA-PBE)

Data for crystalline FeSb2TeW at its relaxed geometry.

```
5
Lattice="5.2757 0.0000 0.0000 0.0000 5.2757 0.0000 0.0000 0.0000 5.2495" Properties=species:S:1:pos:R:3 pbc="T T T"
W 0.0000 0.0000 0.0000
Fe 2.6378 2.6378 2.6247
Te 0.0000 0.0000 2.6247
Sb 2.6378 0.0000 0.0000
Sb 0.0000 2.6378 0.0000
```

Summary:
ΔE_f (raw)   1.17 eV per atom
Space group   P4/mmm
Excess energy over the best structure of this formula in the dataset   0.0 meV/atom
Magnetization   3.4 μB per formula unit